The following is a DFT calculation (PBE) of a relaxed structure of Pu5Ga2Si5.

Cell and atoms, written as extended XYZ:
```
12
Lattice="7.1409 -2.0555 0.0000 7.1409 2.0555 0.0000 -6.6082 0.0000 8.2517" Properties=species:S:1:pos:R:3 pbc="T T T"
Pu 0.0000 0.0000 0.0000
Pu 1.8983 0.0000 3.2263
Pu 3.9601 0.0000 1.6995
Pu 3.7135 0.0000 6.5523
Pu 5.7753 0.0000 5.0254
Ga 0.6420 0.0000 6.0486
Ga 7.0316 0.0000 2.2032
Si -3.3041 0.0000 4.1259
Si -1.2199 0.0000 2.8648
Si -1.4665 0.0000 7.2748
Si 9.1401 0.0000 0.9770
Si 8.8935 0.0000 5.3870
```

Properties
Formation energy (no corrections): -33 kJ/mol of atoms
Space-group type: C2/m, No. 12


The following is a DFT calculation (PBE) of a relaxed structure of Dy2Zn3Ni4.

Cell and atoms, written as extended XYZ:
```
18
Lattice="2.6394 -7.5654 0.0000 2.6394 7.5654 0.0000 0.0000 0.0000 7.0553" Properties=species:S:1:pos:R:3 pbc="T T T"
Dy 2.6394 5.9306 6.4641
Dy 2.6394 1.6348 2.9364
Dy 2.6394 -1.6348 4.1189
Dy 2.6394 -5.9306 0.5913
Zn 0.0000 0.0000 3.5277
Zn 1.3197 3.5253 5.2915
Zn 1.3197 -3.5253 1.7638
Zn 2.6394 0.0000 0.0000
Zn 3.9592 3.5253 5.2915
Zn 3.9592 -3.5253 1.7638
Ni 2.6394 5.0163 3.6229
Ni 1.3197 1.0546 5.2915
Ni 1.3197 -1.0546 1.7638
Ni 2.6394 2.5491 0.0952
Ni 2.6394 -2.5491 6.9601
Ni 3.9592 1.0546 5.2915
Ni 3.9592 -1.0546 1.7638
Ni 2.6394 -5.0163 3.4325
```

Properties
Space-group type: Cmce, No. 64
DFT formation energy: -0.385 eV per atom


The following is a DFT calculation (PBE) of a relaxed structure of Cs6KTl4.

Cell and atoms, written as extended XYZ:
```
11
Lattice="-5.0642 5.0642 7.2938 5.0642 -5.0642 7.2938 5.0642 5.0642 -7.2938" Properties=species:S:1:pos:R:3 pbc="T T T"
Cs 5.0642 0.0000 0.0000
Cs 3.1892 3.1892 -3.2744
Cs 1.8750 1.8750 4.0194
Cs 0.0000 5.0642 0.0000
Cs 1.8750 -1.8750 10.5682
Cs -1.8750 1.8750 10.5682
K 0.0000 0.0000 0.0000
Tl 1.3796 -1.3796 6.5063
Tl 3.6846 3.6846 0.7875
Tl -1.3796 1.3796 6.5063
Tl 1.3796 1.3796 8.0813
```

Properties
Space-group type: I-42m, No. 121
DFT formation energy: -0.051 eV per atom


The following is a DFT calculation (PBE) of a relaxed structure of KSr2Ir.

Cell and atoms, written as extended XYZ:
```
4
Lattice="0.0000 3.9318 3.9318 3.9318 0.0000 3.9318 3.9318 3.9318 0.0000" Properties=species:S:1:pos:R:3 pbc="T T T"
K 0.0000 0.0000 0.0000
Sr 1.9659 1.9659 1.9659
Sr 5.8977 5.8977 5.8977
Ir 3.9318 3.9318 3.9318
```

Properties
Excess energy over the best structure of this formula in the dataset: 0.83 eV per formula unit
Space-group type: Fm-3m, No. 225
DFT formation energy: 0.213 eV per atom


The following is a DFT calculation (PBE) of a relaxed structure of Mg2Ti3VS8.

Cell and atoms, written as extended XYZ:
```
14
Lattice="3.6389 2.1009 6.0079 -3.6389 2.1009 6.0079 0.0000 -4.2019 6.0079" Properties=species:S:1:pos:R:3 pbc="T T T"
Mg 0.0000 0.0000 2.2520
Mg 0.0000 0.0000 15.7718
Ti -1.8195 -1.0505 6.0079
Ti -1.8195 1.0505 12.0159
Ti 0.0000 2.1009 6.0079
V 0.0000 0.0000 9.0119
S 0.0000 0.0000 4.6651
S 0.0000 -1.9317 7.4510
S -1.6729 0.9659 7.4510
S -1.6729 -0.9659 10.5728
S 1.6729 0.9659 7.4510
S 1.6729 -0.9659 10.5728
S 0.0000 1.9317 10.5728
S 0.0000 0.0000 13.3587
```

Properties
Formation energy (no corrections): -121 kJ/mol of atoms
Space-group type: R-3m, No. 166


The following is a DFT calculation (PBE) of a relaxed structure of Y4AgPd2.

Cell and atoms, written as extended XYZ:
```
7
Lattice="2.5011 1.4440 8.0797 -2.5011 1.4440 8.0797 0.0000 -2.8881 8.0797" Properties=species:S:1:pos:R:3 pbc="T T T"
Y 0.0000 0.0000 2.9449
Y 0.0000 0.0000 9.0198
Y 0.0000 0.0000 15.2193
Y 0.0000 0.0000 21.2942
Ag 0.0000 0.0000 12.1196
Pd 0.0000 0.0000 6.0668
Pd 0.0000 0.0000 18.1723
```

Properties
Excess energy over the best structure of this formula in the dataset: 0.11 eV per formula unit
Space-group type: R-3m, No. 166
DFT formation energy: -0.538 eV per atom


Listing M_tot for the structures above in their given order: 5.1 0.0 0.0 0.0 4.7 0.0 μB/cell.